# 1
Here is a geometry-optimized ReAs2Se structure from Alexandria via LeMat-Bulk. Energies are from GGA-PBE.

Unit cell a=2.962 b=4.973 c=10.270 alpha=90.00 beta=90.00 gamma=90.00
Space group Cmm2 (No. 35)
Inequivalent atoms, fractional coordinates:
Re  0.000  0.000  0.000
As  0.000  0.000  0.492
As  0.000  0.500  0.212
Se  0.000  0.500  0.799

Values from the calculation:
density of states at the Fermi level = 0.798 states/eV per atom
raw formation energy = 534 meV per atom
raw total energy = -0.4244 Ry per atom



# 2
Here is a geometry-optimized ReAs2Se structure from Alexandria via LeMat-Bulk. Energies are from GGA-PBE.

Unit cell a=3.082 b=4.187 c=12.445 alpha=90.00 beta=90.00 gamma=90.00
Space group Imm2 (No. 44)
Inequivalent atoms, fractional coordinates:
Re  0.000  0.000  0.000
As  0.000  0.000  0.451
As  0.000  0.500  0.319
Se  0.000  0.500  0.658

Values from the calculation:
density of states at the Fermi level = 0.524 states/eV per atom
raw formation energy = 295 meV per atom
raw total energy = -0.4419 Ry per atom



# 3
Here is a geometry-optimized ReAs2Se structure from Alexandria via LeMat-Bulk. Energies are from GGA-PBE.

Unit cell a=4.201 b=4.201 c=7.623 alpha=90.00 beta=90.00 gamma=90.00
Space group I4/mmm (No. 139)
Inequivalent atoms, fractional coordinates:
Re  0.000  0.000  0.000
As  0.000  0.500  0.250
Se  0.000  0.000  0.500

Values from the calculation:
density of states at the Fermi level = 0.458 states/eV per atom
raw formation energy = 655 meV per atom
raw total energy = -0.4155 Ry per atom